# Ga2Cu3Ag

An optimized crystal structure of Ga2Cu3Ag (PBE, Alexandria).

The space group is C2/m (No. 12) and the conventional cell measures 12.438, 4.168 and 8.632 Å, with angles of 90.00, 125.50 and 90.00 degrees. The distinct sites, in fractional coordinates, are Ga at (0.044, 0.000, 0.376), Ga at (0.218, 0.500, 0.293), Cu at (0.048, 0.500, 0.906), Cu at (0.104, 0.000, 0.150), Cu at (0.184, 0.000, 0.934) and Ag at (0.128, 0.500, 0.673).

The formation energy comes out at 0.02 eV/atom. The value obtained for the total energy is -3.5084 eV per atom. Its density of states at the Fermi level is 7.800 states/eV/cell. Its size of the total moment is 0.00 μB/f.u.

# NaEuO2

An optimized crystal structure of NaEuO2 (PBE, Alexandria).

The space group is R-3m (No. 166, hexagonal axes) and the conventional cell measures 3.5198, 3.5198 and 16.7683 Å, with angles of 90.00, 90.00 and 120.00 degrees. The distinct sites, in fractional coordinates, are Na at (0.0000, 0.0000, 0.0000), Eu at (0.0000, 0.0000, 0.5000) and O at (0.0000, 0.0000, 0.2390).

As for the formation energy from raw total energies: -2259.7 meV per atom. The value obtained for the total energy is -7.6372 eV per atom. Its density of states at the Fermi level is 16.802 states/eV/cell. Its size of the total moment is 6.00 μB/f.u.

# PmSmSn

An optimized crystal structure of PmSmSn (PBE, Alexandria).

The space group is F-43m (No. 216) and the conventional cell measures 7.433, 7.433 and 7.433 Å, with angles of 90.00, 90.00 and 90.00 degrees. The distinct sites, in fractional coordinates, are Pm at (0.000, 0.000, 0.000), Sm at (0.000, 0.000, 0.500) and Sn at (0.250, 0.250, 0.250).

The formation energy comes out at -0.43 eV/atom. The value obtained for the total energy is -4.9235 eV per atom. Its density of states at the Fermi level is 14.381 states/eV/cell. Its size of the total moment is 0.00 μB/f.u. The polymorph energy (0 for the lowest one) comes out at 149 meV/atom.

# Al2Cu3

An optimized crystal structure of Al2Cu3 (PBE, Alexandria).

The space group is R-3m (No. 166, hexagonal axes) and the conventional cell measures 2.7327, 2.7327 and 30.8437 Å, with angles of 90.00, 90.00 and 120.00 degrees. The distinct sites, in fractional coordinates, are Al at (0.0000, 0.0000, 0.0992), Cu at (0.0000, 0.0000, 0.3003) and Cu at (0.0000, 0.0000, 0.5000).

The formation energy comes out at -0.06 eV/atom. The value obtained for the total energy is -4.0188 eV per atom. Its density of states at the Fermi level is 5.944 states/eV/cell. Its size of the total moment is 0.00 μB/f.u. The polymorph energy (0 for the lowest one) comes out at 87 meV/atom.

# PmMn2C2

An optimized crystal structure of PmMn2C2 (PBE, Alexandria).

The space group is Fddd (No. 70, origin choice 2) and the conventional cell measures 6.180, 8.500 and 9.131 Å, with angles of 90.00, 90.00 and 90.00 degrees. The distinct sites, in fractional coordinates, are Pm at (0.125, 0.125, 0.125), Mn at (0.125, 0.125, 0.490) and C at (0.125, 0.310, 0.625).

The formation energy comes out at -0.22 eV/atom. The value obtained for the total energy is -8.5296 eV per atom. Its density of states at the Fermi level is 33.154 states/eV/cell. Its size of the total moment is 0.60 μB/f.u.

# Te3PtF

An optimized crystal structure of Te3PtF (PBE, Alexandria).

The space group is Pm-3m (No. 221) and the conventional cell measures 4.872, 4.872 and 4.872 Å, with angles of 90.00, 90.00 and 90.00 degrees. The distinct sites, in fractional coordinates, are Te at (0.000, 0.000, 0.500), Pt at (0.500, 0.500, 0.500) and F at (0.000, 0.000, 0.000).

As for the formation energy from raw total energies: 500.9 meV per atom. The value obtained for the total energy is -2.9666 eV per atom. Its density of states at the Fermi level is 7.090 states/eV/cell. Its size of the total moment is 0.00 μB/f.u. The polymorph energy (0 for the lowest one) comes out at 286 meV/atom.

# LiTl2Pd2

An optimized crystal structure of LiTl2Pd2 (PBE, Alexandria).

The space group is I4/mmm (No. 139) and the conventional cell measures 4.041, 4.041 and 13.549 Å, with angles of 90.00, 90.00 and 90.00 degrees. The distinct sites, in fractional coordinates, are Li at (0.000, 0.000, 0.000), Tl at (0.000, 0.000, 0.389) and Pd at (0.000, 0.500, 0.250).

The formation energy comes out at -0.11 eV/atom. The value obtained for the total energy is -3.5175 eV per atom. Its density of states at the Fermi level is 3.644 states/eV/cell. Its size of the total moment is 0.00 μB/f.u. The polymorph energy (0 for the lowest one) comes out at 157 meV/atom.

# Tl2AgCl

An optimized crystal structure of Tl2AgCl (PBE, Alexandria).

The space group is Pmmm (No. 47) and the conventional cell measures 3.783, 3.795 and 7.590 Å, with angles of 90.00, 90.00 and 90.00 degrees. The distinct sites, in fractional coordinates, are Tl at (0.000, 0.000, 0.243), Ag at (0.500, 0.500, 0.000) and Cl at (0.500, 0.500, 0.500).

As for the formation energy from raw total energies: -262.6 meV per atom. The value obtained for the total energy is -2.6202 eV per atom. Its density of states at the Fermi level is 0.553 states/eV/cell. Its size of the total moment is 0.00 μB/f.u. The polymorph energy (0 for the lowest one) comes out at 83 meV/atom.

Q: size of the total moment of number 1 (Ga2Cu3Ag)?
A: 0.00 μB/f.u.

Q: What is the formula in the sixth record?
A: Te3PtF

Q: Look up the size of the total moment of the sixth one.
A: 0.00 μB/f.u.